The following is a DFT calculation (GGA-PBE) of a relaxed structure of CsTe2As2.

Properties
The calculated density comes out at 4.50 g/cm3. The calculation puts the uncorrected formation energy at -305.7 meV/atom. The magnetization comes out at 0.0 μB/f.u. The polymorph energy (0 for the lowest one) is 0 meV/atom.

```
data_CsTe2As2
_chemical_formula_sum 'Cs2 Te4 As4'
_symmetry_space_group_name_H-M 'P -1'
_symmetry_Int_Tables_number 2
_cell_length_a 6.714
_cell_length_b 7.140
_cell_length_c 9.638
_cell_angle_alpha 104.30
_cell_angle_beta 100.89
_cell_angle_gamma 111.11
loop_
_symmetry_equiv_pos_as_xyz
'x,y,z'
'-x,-y,-z'
loop_
_atom_site_label
_atom_site_type_symbol
_atom_site_fract_x
_atom_site_fract_y
_atom_site_fract_z
Cs1 Cs 0.125 0.020 0.278
Te1 Te 0.131 0.592 0.841
Te2 Te 0.464 0.647 0.312
As1 As 0.191 0.564 0.570
As2 As 0.443 0.372 0.066
```